The following is a PBE calculation of TaPBr2 after structural relaxation, from Alexandria.

Output
E above lowest polymorph (eV per atom): 0.013
ΔE_f (raw) (eV/atom): -0.408

Lattice parameters (Å, degrees): 4.7343 4.7343 7.8820 106.99 106.99 41.69
With the nearest neighbours (Å) after each atom.
Fractional coordinates of all 4 atoms:
Ta 0.0000 0.0000 0.0000  3 P 2.46-2.63, 4 Br 2.70
P 0.7025 0.7025 0.0000  3 Ta 2.46-2.63
Br 0.3638 0.3638 0.7278  2 Ta 2.70
Br 0.5155 0.5155 0.2723  2 Ta 2.70



The following is a PBE calculation of La7Er2Tm2 after structural relaxation, from Alexandria.

Output
Calculated formation energy (eV/atom): 0.305
E above lowest polymorph (eV per atom): 0.166

Lattice parameters (Å, degrees): 6.9257 6.9257 9.8138 90.00 90.00 121.95
With the nearest neighbours (Å) after each atom.
Fractional coordinates of all 11 atoms:
La 0.0000 0.0000 0.0000  2 Er 3.25
La 0.0000 0.5000 0.3173  5 La 3.36-3.73, 2 Tm 3.52, 2 Er 3.55
La 0.0000 0.5000 0.6827  5 La 3.36-3.73, 2 Tm 3.52, 2 Er 3.55
La 0.5000 0.0000 0.3173  5 La 3.36-3.73, 2 Tm 3.52, 2 Er 3.55
La 0.5000 0.0000 0.6827  5 La 3.36-3.73, 2 Tm 3.52, 2 Er 3.55
La 0.5000 0.5000 0.1762  2 Er 3.30, 1 La 3.46, 2 Tm 3.59
La 0.5000 0.5000 0.8238  2 Er 3.30, 1 La 3.46, 2 Tm 3.59
Er 0.2683 0.7317 0.0000  7 La 3.25-3.55, 2 Er 3.39
Er 0.7317 0.2683 0.0000  7 La 3.25-3.55, 2 Er 3.39
Tm 0.2521 0.2521 0.5000  2 Tm 3.33-3.39, 6 La 3.52-3.59
Tm 0.7479 0.7479 0.5000  2 Tm 3.33-3.39, 6 La 3.52-3.59



The following is a PBE calculation of AcPm2PrHo5 after structural relaxation, from Alexandria.

Output
Calculated formation energy (eV/atom): 0.245

Lattice parameters (Å, degrees): 10.0462 10.0462 10.0462 127.95 127.95 76.71
With the nearest neighbours (Å) after each atom.
Fractional coordinates of all 18 atoms:
Ac 0.2500 0.2500 0.0000  10 Ho 3.68-3.94
Ac 0.7500 0.7500 0.0000  10 Ho 3.68-3.94
Pm 0.1172 0.6172 0.7345  1 Pm 2.92, 2 Ho 3.03
Pm 0.3828 0.1172 0.5000  1 Pm 2.92, 2 Ho 3.03
Pm 0.6172 0.8828 0.5000  1 Pm 2.92, 2 Ho 3.03
Pm 0.8828 0.3828 0.2655  1 Pm 2.92, 2 Ho 3.03
Pr 0.2500 0.7500 0.5000  4 Ho 3.17
Pr 0.7500 0.2500 0.5000  4 Ho 3.17
Ho 0.0000 0.0000 0.0000  4 Pm 3.53, 8 Ho 3.78, 2 Ac 3.94
Ho 0.0740 0.1633 0.5000  1 Pm 3.03, 1 Pr 3.17
Ho 0.1633 0.6633 0.0893  1 Pm 3.03, 1 Pr 3.17
Ho 0.3367 0.4260 0.5000  1 Pm 3.03, 1 Pr 3.17
Ho 0.4260 0.9260 0.0893  1 Pm 3.03, 1 Pr 3.17
Ho 0.5000 0.5000 0.0000  4 Pm 3.53, 8 Ho 3.78, 2 Ac 3.94
Ho 0.5740 0.0740 0.9107  1 Pm 3.03, 1 Pr 3.17
Ho 0.6633 0.5740 0.5000  1 Pm 3.03, 1 Pr 3.17
Ho 0.8367 0.3367 0.9107  1 Pm 3.03, 1 Pr 3.17
Ho 0.9260 0.8367 0.5000  1 Pm 3.03, 1 Pr 3.17



The following is a PBE calculation of TmIn7Hg12 after structural relaxation, from Alexandria.

Output
Calculated formation energy (eV/atom): -0.026

Lattice parameters (Å, degrees): 8.4809 8.4809 8.4809 105.33 105.33 105.33
With the nearest neighbours (Å) after each atom.
Fractional coordinates of all 20 atoms:
Tm 0.0000 0.0000 0.0000  6 Hg 3.16, 6 In 3.31
In 0.0496 0.1432 0.6828  6 Hg 3.04-3.36, 3 In 3.13-3.39, 1 Tm 3.31
In 0.1432 0.6828 0.0496  6 Hg 3.04-3.36, 3 In 3.13-3.39, 1 Tm 3.31
In 0.3172 0.9504 0.8568  6 Hg 3.04-3.36, 3 In 3.13-3.39, 1 Tm 3.31
In 0.5000 0.5000 0.5000  12 Hg 3.25-3.28
In 0.6828 0.0496 0.1432  6 Hg 3.04-3.36, 3 In 3.13-3.39, 1 Tm 3.31
In 0.8568 0.3172 0.9504  6 Hg 3.04-3.36, 3 In 3.13-3.39, 1 Tm 3.31
In 0.9504 0.8568 0.3172  6 Hg 3.04-3.36, 3 In 3.13-3.39, 1 Tm 3.31
Hg 0.0818 0.2833 0.3681  5 Hg 3.13-3.44, 1 Tm 3.16, 4 In 3.17-3.36
Hg 0.2080 0.6872 0.4451  4 In 3.04-3.33, 5 Hg 3.13-3.41
Hg 0.2833 0.3681 0.0818  5 Hg 3.13-3.44, 1 Tm 3.16, 4 In 3.17-3.36
Hg 0.3128 0.5549 0.7920  4 In 3.04-3.33, 5 Hg 3.13-3.41
Hg 0.3681 0.0818 0.2833  5 Hg 3.13-3.44, 1 Tm 3.16, 4 In 3.17-3.36
Hg 0.4451 0.2080 0.6872  4 In 3.04-3.33, 5 Hg 3.13-3.41
Hg 0.5549 0.7920 0.3128  4 In 3.04-3.33, 5 Hg 3.13-3.41
Hg 0.6319 0.9182 0.7167  5 Hg 3.13-3.44, 1 Tm 3.16, 4 In 3.17-3.36
Hg 0.6872 0.4451 0.2080  4 In 3.04-3.33, 5 Hg 3.13-3.41
Hg 0.7167 0.6319 0.9182  5 Hg 3.13-3.44, 1 Tm 3.16, 4 In 3.17-3.36
Hg 0.7920 0.3128 0.5549  4 In 3.04-3.33, 5 Hg 3.13-3.41
Hg 0.9182 0.7167 0.6319  5 Hg 3.13-3.44, 1 Tm 3.16, 4 In 3.17-3.36



no.,Fermi-level density of states (states/eV/f.u.),calculated density (g/cm³),total energy (eV/atom)
1,4.581,5.5,-5.5597
2,18.149,6.8,-4.4737
3,9.907,8.0,-4.3418
4,8.865,10.6,-1.3895